1.
# SrCrHg

A relaxed structure of SrCrHg (PBEsol, Alexandria via LeMat-Bulk).

Unit cell a=5.171 b=5.171 c=5.171 alpha=60.00 beta=60.00 gamma=60.00
Atoms (fractional coordinates):
Sr 0.000 0.000 0.000
Cr 0.250 0.250 0.250
Hg 0.750 0.750 0.750

- SG: F-43m, No. 216
- Density of states at the Fermi level: 1.8 states/eV per cell
- Formation enthalpy at 0 K: 0.83 eV/atom
- Calculated total energy: -10.2 eV/cell
- Volume: 32.6 Å³/atom

=====

2.
# TaCrHg

A relaxed structure of TaCrHg (PBEsol, Alexandria via LeMat-Bulk).

Unit cell a=5.230 b=5.230 c=5.230 alpha=143.97 beta=143.97 gamma=51.87
Atoms (fractional coordinates):
Ta 0.000 0.000 0.000
Cr 0.625 0.625 0.000
Hg 0.306 0.306 0.000

- SG: I4mm, No. 107
- Density of states at the Fermi level: 2.2 states/eV per cell
- Formation enthalpy at 0 K: 0.33 eV/atom
- Calculated total energy: -22.4 eV/cell
- Volume: 16.4 Å³/atom

=====

3.
# TaCrHg2

A relaxed structure of TaCrHg2 (PBEsol, Alexandria via LeMat-Bulk).

Unit cell a=4.641 b=4.641 c=4.641 alpha=60.00 beta=60.00 gamma=60.00
Atoms (fractional coordinates):
Ta 0.000 0.000 0.000
Cr 0.750 0.750 0.750
Hg 0.250 0.250 0.250
Hg 0.500 0.500 0.500

- SG: F-43m, No. 216
- Density of states at the Fermi level: 7.0 states/eV per cell
- Formation enthalpy at 0 K: 0.71 eV/atom
- Calculated total energy: -21.1 eV/cell
- Volume: 17.7 Å³/atom

=====

4.
# Ta2CrHg

A relaxed structure of Ta2CrHg (PBEsol, Alexandria via LeMat-Bulk).

Unit cell a=4.954 b=4.954 c=5.045 alpha=96.15 beta=96.15 gamma=32.90
Atoms (fractional coordinates):
Ta 0.246 0.246 0.259
Ta 0.754 0.754 0.741
Cr 0.000 0.000 0.500
Hg 0.500 0.500 0.000

- SG: C2/m, No. 12
- Density of states at the Fermi level: 3.0 states/eV per cell
- Formation enthalpy at 0 K: 0.46 eV/atom
- Calculated total energy: -34.1 eV/cell
- Volume: 16.7 Å³/atom

=====

5.
# TaCrHg2

A relaxed structure of TaCrHg2 (PBEsol, Alexandria via LeMat-Bulk).

Unit cell a=3.209 b=3.209 c=6.893 alpha=90.00 beta=90.00 gamma=90.00
Atoms (fractional coordinates):
Ta 0.000 0.000 0.000
Cr 0.500 0.500 0.163
Hg 0.000 0.000 0.424
Hg 0.500 0.500 0.717

- SG: P4mm, No. 99
- Density of states at the Fermi level: 2.4 states/eV per cell
- Formation enthalpy at 0 K: 0.34 eV/atom
- Calculated total energy: -22.6 eV/cell
- Volume: 17.7 Å³/atom

=====

6.
# Cr2TcHg

A relaxed structure of Cr2TcHg (PBEsol, Alexandria via LeMat-Bulk).

Unit cell a=2.987 b=2.987 c=6.519 alpha=90.00 beta=90.00 gamma=90.00
Atoms (fractional coordinates):
Cr 0.000 0.000 0.211
Cr 0.000 0.000 0.789
Tc 0.500 0.500 0.000
Hg 0.500 0.500 0.500

- SG: P4/mmm, No. 123
- Density of states at the Fermi level: 3.1 states/eV per cell
- Formation enthalpy at 0 K: 0.38 eV/atom
- Calculated total energy: -30.8 eV/cell
- Volume: 14.5 Å³/atom

=====

7.
# Cr2TcHg

A relaxed structure of Cr2TcHg (PBEsol, Alexandria via LeMat-Bulk).

Unit cell a=4.863 b=4.863 c=4.471 alpha=109.50 beta=109.50 gamma=34.34
Atoms (fractional coordinates):
Cr 0.000 0.000 0.000
Cr 0.697 0.697 0.228
Tc 0.250 0.250 0.795
Hg 0.467 0.467 0.475

- SG: Cm, No. 8
- Density of states at the Fermi level: 4.1 states/eV per cell
- Formation enthalpy at 0 K: 0.48 eV/atom
- Calculated total energy: -30.4 eV/cell
- Volume: 14.0 Å³/atom

=====

8.
# CrTc2Hg

A relaxed structure of CrTc2Hg (PBEsol, Alexandria via LeMat-Bulk).

Unit cell a=4.678 b=4.678 c=2.852 alpha=90.00 beta=90.00 gamma=109.79
Atoms (fractional coordinates):
Cr 0.000 0.000 0.000
Tc 0.000 0.500 0.500
Tc 0.500 0.000 0.500
Hg 0.500 0.500 0.000

- SG: Cmmm, No. 65
- Density of states at the Fermi level: 4.0 states/eV per cell
- Formation enthalpy at 0 K: 0.60 eV/atom
- Calculated total energy: -30.9 eV/cell
- Volume: 14.7 Å³/atom

=====

9.
# CrTc2Hg

A relaxed structure of CrTc2Hg (PBEsol, Alexandria via LeMat-Bulk).

Unit cell a=2.822 b=3.784 c=5.606 alpha=90.00 beta=90.00 gamma=90.00
Atoms (fractional coordinates):
Cr 0.000 0.000 0.000
Tc 0.000 0.000 0.597
Tc 0.500 0.500 0.802
Hg 0.500 0.500 0.294

- SG: Pmm2, No. 25
- Density of states at the Fermi level: 3.2 states/eV per cell
- Formation enthalpy at 0 K: 0.33 eV/atom
- Calculated total energy: -32.0 eV/cell
- Volume: 15.0 Å³/atom

=====

10.
# CrTc2Hg

A relaxed structure of CrTc2Hg (PBEsol, Alexandria via LeMat-Bulk).

Unit cell a=2.806 b=3.725 c=5.684 alpha=90.00 beta=90.00 gamma=90.00
Atoms (fractional coordinates):
Cr 0.000 0.000 0.000
Tc 0.500 0.500 0.203
Tc 0.500 0.500 0.797
Hg 0.000 0.000 0.500

- SG: Pmmm, No. 47
- Density of states at the Fermi level: 3.6 states/eV per cell
- Formation enthalpy at 0 K: 0.37 eV/atom
- Calculated total energy: -31.9 eV/cell
- Volume: 14.8 Å³/atom

=====

11.
# Cr2TcHg

A relaxed structure of Cr2TcHg (PBEsol, Alexandria via LeMat-Bulk).

Unit cell a=2.670 b=2.670 c=8.563 alpha=90.00 beta=90.00 gamma=110.34
Atoms (fractional coordinates):
Cr 0.000 0.000 0.224
Cr 0.000 0.000 0.776
Tc 0.500 0.500 0.000
Hg 0.500 0.500 0.500

- SG: Cmmm, No. 65
- Density of states at the Fermi level: 4.3 states/eV per cell
- Formation enthalpy at 0 K: 0.50 eV/atom
- Calculated total energy: -30.3 eV/cell
- Volume: 14.3 Å³/atom

=====

12.
# Cr2TcHg

A relaxed structure of Cr2TcHg (PBEsol, Alexandria via LeMat-Bulk).

Unit cell a=5.079 b=5.079 c=5.079 alpha=146.21 beta=129.17 gamma=62.44
Atoms (fractional coordinates):
Cr 0.000 0.000 0.000
Cr 0.796 0.296 0.500
Tc 0.552 0.552 0.000
Hg 0.269 0.769 0.500

- SG: Imm2, No. 44
- Density of states at the Fermi level: 4.5 states/eV per cell
- Formation enthalpy at 0 K: 0.49 eV/atom
- Calculated total energy: -30.4 eV/cell
- Volume: 14.0 Å³/atom